(1)
An optimized crystal structure of AsPSe2, computed with GGA-PBE.

Cell and atoms, written as CIF:
```
data_AsPSe2
_cell_length_a 3.5987
_cell_length_b 3.5987
_cell_length_c 7.8950
_cell_angle_alpha 90.00
_cell_angle_beta 90.00
_cell_angle_gamma 90.00
_symmetry_space_group_name_H-M 'P 4 m m'
_symmetry_Int_Tables_number 99
_symmetry_space_group_name_Hall 'P 4 -2'
loop_
_atom_site_label
_atom_site_fract_x
_atom_site_fract_y
_atom_site_fract_z
As1 0.0000 0.0000 0.0000
P1 0.5000 0.5000 0.9195
Se1 0.0000 0.0000 0.2883
Se2 0.5000 0.5000 0.6482
```

Computed properties:
- Raw formation energy: 0.7 eV/f.u.
- Volume: 102 Å³ per cell
- Spin magnetization: 0.00 μB per formula unit



(2)
An optimized crystal structure of AsPSe2, computed with GGA-PBE.

Cell and atoms, written as CIF:
```
data_AsPSe2
_cell_length_a 5.4339
_cell_length_b 5.4339
_cell_length_c 5.5495
_cell_angle_alpha 90.00
_cell_angle_beta 90.00
_cell_angle_gamma 90.00
_symmetry_space_group_name_H-M 'I 4/m m m'
_symmetry_Int_Tables_number 139
_symmetry_space_group_name_Hall '-I 4 2'
loop_
_atom_site_label
_atom_site_fract_x
_atom_site_fract_y
_atom_site_fract_z
As1 0.0000 0.0000 0.0000
P1 0.0000 0.0000 0.5000
Se1 0.0000 0.5000 0.0000
```

Computed properties:
- Raw formation energy: 0.9 eV/f.u.
- Volume: 164 Å³ per cell
- Spin magnetization: 0.00 μB per formula unit



Q: Among the records above, which one has the highest raw formation energy?
A: number 2